# AcEuCdIr, relaxed, DFT PBE-GGA
# ΔE_f: -0.298 eV per atom
# calculated total energy: -6.3375 eV per atom
# magnetization: 6.97 μB/f.u.
# crystal system: cubic
data_AcEuCdIr
_cell_length_a 7.558
_cell_length_b 7.558
_cell_length_c 7.558
_cell_angle_alpha 90.00
_cell_angle_beta 90.00
_cell_angle_gamma 90.00
_symmetry_space_group_name_H-M 'F -4 3 m'
_symmetry_Int_Tables_number 216
_symmetry_space_group_name_Hall 'F -4 2 3'
loop_
_atom_site_label
_atom_site_fract_x
_atom_site_fract_y
_atom_site_fract_z
Ac1 0.000 0.000 0.000
Eu1 0.000 0.000 0.500
Cd1 0.250 0.250 0.250
Ir1 0.250 0.250 0.750